--- one ---
DFT (PBE) results for a relaxed MgRhBr2 crystal.

D(E_F)	4.5	states/eV per cell

Cell and atoms, written as CIF:
```
data_MgRhBr2
_chemical_formula_sum 'Mg2 Rh2 Br4'
_cell_length_a 3.839
_cell_length_b 6.316
_cell_length_c 7.419
_cell_angle_alpha 90.00
_cell_angle_beta 90.00
_cell_angle_gamma 90.00
_symmetry_space_group_name_H-M 'C m m m'
_symmetry_Int_Tables_number 65
_symmetry_space_group_name_Hall '-C 2 2'
loop_
_atom_site_label
_atom_site_type_symbol
_atom_site_fract_x
_atom_site_fract_y
_atom_site_fract_z
Mg1 Mg 0.000 0.000 0.000
Rh1 Rh 0.000 0.000 0.500
Br1 Br 0.000 0.500 0.251
```

---

--- two ---
DFT (PBE) results for a relaxed MgRhBr2 crystal.

D(E_F)	4.5	states/eV per cell

Cell and atoms, written as CIF:
```
data_MgRhBr2
_chemical_formula_sum 'Mg3 Rh3 Br6'
_cell_length_a 3.6989
_cell_length_b 3.6989
_cell_length_c 24.2425
_cell_angle_alpha 90.00
_cell_angle_beta 90.00
_cell_angle_gamma 120.00
_symmetry_space_group_name_H-M 'R -3 m'
_symmetry_Int_Tables_number 166
_symmetry_space_group_name_Hall '-R 3 2"'
loop_
_atom_site_label
_atom_site_type_symbol
_atom_site_fract_x
_atom_site_fract_y
_atom_site_fract_z
Mg1 Mg 0.0000 0.0000 0.0000
Rh1 Rh 0.0000 0.0000 0.5000
Br1 Br 0.0000 0.0000 0.3982
```

---

two has the most favorable energy; the next structure is 201 meV/atom above.

---

--- one ---
DFT (PBE) results for a relaxed MgRu3Br crystal.

D(E_F)	6.5	states/eV per cell

Cell and atoms, written as CIF:
```
data_MgRu3Br
_chemical_formula_sum 'Mg1 Ru3 Br1'
_cell_length_a 4.739
_cell_length_b 4.739
_cell_length_c 4.739
_cell_angle_alpha 90.00
_cell_angle_beta 90.00
_cell_angle_gamma 90.00
_symmetry_space_group_name_H-M 'P m -3 m'
_symmetry_Int_Tables_number 221
_symmetry_space_group_name_Hall '-P 4 2 3'
loop_
_atom_site_label
_atom_site_type_symbol
_atom_site_fract_x
_atom_site_fract_y
_atom_site_fract_z
Mg1 Mg 0.000 0.000 0.000
Ru1 Ru 0.000 0.000 0.500
Br1 Br 0.500 0.500 0.500
```

---

--- two ---
DFT (PBE) results for a relaxed MgRu3Br crystal.

D(E_F)	7.2	states/eV per cell

Cell and atoms, written as CIF:
```
data_MgRu3Br
_chemical_formula_sum 'Mg1 Ru3 Br1'
_cell_length_a 4.550
_cell_length_b 4.550
_cell_length_c 4.550
_cell_angle_alpha 90.00
_cell_angle_beta 90.00
_cell_angle_gamma 90.00
_symmetry_space_group_name_H-M 'P m -3 m'
_symmetry_Int_Tables_number 221
_symmetry_space_group_name_Hall '-P 4 2 3'
loop_
_atom_site_label
_atom_site_type_symbol
_atom_site_fract_x
_atom_site_fract_y
_atom_site_fract_z
Mg1 Mg 0.000 0.000 0.000
Ru1 Ru 0.000 0.500 0.500
Br1 Br 0.500 0.500 0.500
```

---

two has the most favorable energy; the next structure is 746 meV/atom above.

---

--- one ---
DFT (PBE) results for a relaxed Mg2RuBr2 crystal.

D(E_F)	5.3	states/eV per cell

Cell and atoms, written as CIF:
```
data_Mg2RuBr2
_chemical_formula_sum 'Mg4 Ru2 Br4'
_cell_length_a 6.958
_cell_length_b 6.958
_cell_length_c 4.526
_cell_angle_alpha 90.00
_cell_angle_beta 90.00
_cell_angle_gamma 90.00
_symmetry_space_group_name_H-M 'P 4/m b m'
_symmetry_Int_Tables_number 127
_symmetry_space_group_name_Hall '-P 4 2ab'
loop_
_atom_site_label
_atom_site_type_symbol
_atom_site_fract_x
_atom_site_fract_y
_atom_site_fract_z
Mg1 Mg 0.173 0.327 0.000
Ru1 Ru 0.000 0.000 0.500
Br1 Br 0.171 0.671 0.500
```

---

--- two ---
DFT (PBE) results for a relaxed Mg2RuBr2 crystal.

D(E_F)	5.2	states/eV per cell

Cell and atoms, written as CIF:
```
data_Mg2RuBr2
_chemical_formula_sum 'Mg4 Ru2 Br4'
_cell_length_a 5.362
_cell_length_b 5.362
_cell_length_c 7.826
_cell_angle_alpha 90.00
_cell_angle_beta 90.00
_cell_angle_gamma 90.00
_symmetry_space_group_name_H-M 'I 4/m m m'
_symmetry_Int_Tables_number 139
_symmetry_space_group_name_Hall '-I 4 2'
loop_
_atom_site_label
_atom_site_type_symbol
_atom_site_fract_x
_atom_site_fract_y
_atom_site_fract_z
Mg1 Mg 0.000 0.500 0.250
Ru1 Ru 0.000 0.000 0.000
Br1 Br 0.000 0.000 0.309
```

---

two has the most favorable energy; the next structure is 71 meV/atom above.

---

--- one ---
DFT (PBE) results for a relaxed Mg3SBr crystal.

D(E_F)	5.6	states/eV per cell

Cell and atoms, written as CIF:
```
data_Mg3SBr
_chemical_formula_sum 'Mg3 S1 Br1'
_cell_length_a 5.134
_cell_length_b 5.134
_cell_length_c 5.134
_cell_angle_alpha 90.00
_cell_angle_beta 90.00
_cell_angle_gamma 90.00
_symmetry_space_group_name_H-M 'P m -3 m'
_symmetry_Int_Tables_number 221
_symmetry_space_group_name_Hall '-P 4 2 3'
loop_
_atom_site_label
_atom_site_type_symbol
_atom_site_fract_x
_atom_site_fract_y
_atom_site_fract_z
Mg1 Mg 0.000 0.000 0.500
S1 S 0.000 0.000 0.000
Br1 Br 0.500 0.500 0.500
```

---

--- two ---
DFT (PBE) results for a relaxed Mg3SBr crystal.

D(E_F)	4.1	states/eV per cell

Cell and atoms, written as CIF:
```
data_Mg3SBr
_chemical_formula_sum 'Mg3 S1 Br1'
_cell_length_a 5.299
_cell_length_b 5.299
_cell_length_c 5.299
_cell_angle_alpha 90.00
_cell_angle_beta 90.00
_cell_angle_gamma 90.00
_symmetry_space_group_name_H-M 'P m -3 m'
_symmetry_Int_Tables_number 221
_symmetry_space_group_name_Hall '-P 4 2 3'
loop_
_atom_site_label
_atom_site_type_symbol
_atom_site_fract_x
_atom_site_fract_y
_atom_site_fract_z
Mg1 Mg 0.000 0.000 0.500
S1 S 0.500 0.500 0.500
Br1 Br 0.000 0.000 0.000
```

---

one has the most favorable energy; the next structure is 593 meV/atom above.

---

--- one ---
DFT (PBE) results for a relaxed MgSe2SBr crystal.

D(E_F)	2.3	states/eV per cell

Cell and atoms, written as CIF:
```
data_MgSe2SBr
_chemical_formula_sum 'Mg1 Se2 S1 Br1'
_cell_length_a 4.898
_cell_length_b 4.898
_cell_length_c 5.128
_cell_angle_alpha 90.00
_cell_angle_beta 90.00
_cell_angle_gamma 90.00
_symmetry_space_group_name_H-M 'P 4/m m m'
_symmetry_Int_Tables_number 123
_symmetry_space_group_name_Hall '-P 4 2'
loop_
_atom_site_label
_atom_site_type_symbol
_atom_site_fract_x
_atom_site_fract_y
_atom_site_fract_z
Mg1 Mg 0.000 0.000 0.000
Se1 Se 0.000 0.500 0.500
S1 S 0.500 0.500 0.500
Br1 Br 0.500 0.500 0.000
```

---

--- two ---
DFT (PBE) results for a relaxed MgSe2SBr crystal.

D(E_F)	5.6	states/eV per cell

Cell and atoms, written as CIF:
```
data_MgSe2SBr
_chemical_formula_sum 'Mg1 Se2 S1 Br1'
_cell_length_a 5.161
_cell_length_b 5.161
_cell_length_c 4.863
_cell_angle_alpha 90.00
_cell_angle_beta 90.00
_cell_angle_gamma 90.00
_symmetry_space_group_name_H-M 'P 4/m m m'
_symmetry_Int_Tables_number 123
_symmetry_space_group_name_Hall '-P 4 2'
loop_
_atom_site_label
_atom_site_type_symbol
_atom_site_fract_x
_atom_site_fract_y
_atom_site_fract_z
Mg1 Mg 0.000 0.000 0.000
Se1 Se 0.000 0.500 0.000
S1 S 0.500 0.500 0.500
Br1 Br 0.000 0.000 0.500
```

---

one has the most favorable energy; the next structure is 232 meV/atom above.

---

--- one ---
DFT (PBE) results for a relaxed MgSeSBr2 crystal.

D(E_F)	4.6	states/eV per cell

Cell and atoms, written as CIF:
```
data_MgSeSBr2
_chemical_formula_sum 'Mg1 Se1 S1 Br2'
_cell_length_a 5.094
_cell_length_b 5.094
_cell_length_c 5.054
_cell_angle_alpha 90.00
_cell_angle_beta 90.00
_cell_angle_gamma 90.00
_symmetry_space_group_name_H-M 'P 4/m m m'
_symmetry_Int_Tables_number 123
_symmetry_space_group_name_Hall '-P 4 2'
loop_
_atom_site_label
_atom_site_type_symbol
_atom_site_fract_x
_atom_site_fract_y
_atom_site_fract_z
Mg1 Mg 0.000 0.000 0.000
Se1 Se 0.500 0.500 0.000
S1 S 0.500 0.500 0.500
Br1 Br 0.000 0.500 0.500
```

---

--- two ---
DFT (PBE) results for a relaxed MgSeSBr2 crystal.

D(E_F)	4.5	states/eV per cell

Cell and atoms, written as CIF:
```
data_MgSeSBr2
_chemical_formula_sum 'Mg1 Se1 S1 Br2'
_cell_length_a 5.003
_cell_length_b 5.003
_cell_length_c 5.600
_cell_angle_alpha 90.00
_cell_angle_beta 90.00
_cell_angle_gamma 90.00
_symmetry_space_group_name_H-M 'P 4/m m m'
_symmetry_Int_Tables_number 123
_symmetry_space_group_name_Hall '-P 4 2'
loop_
_atom_site_label
_atom_site_type_symbol
_atom_site_fract_x
_atom_site_fract_y
_atom_site_fract_z
Mg1 Mg 0.000 0.000 0.000
Se1 Se 0.000 0.000 0.500
S1 S 0.500 0.500 0.500
Br1 Br 0.000 0.500 0.000
```

---

two has the most favorable energy; the next structure is 5 meV/atom above.